First-principles (PBE with a Hubbard U) data for a geometry-optimized ScCr3O structure, as listed in Alexandria.

Results
* crystal system: cubic
* relative energy among the computed polymorphs: 0 meV/atom
* final energy: -34.107 eV per cell

Cell: 4.3766 4.3766 4.3766 Å, 90.00 90.00 90.00°
Closest atoms and distances in Å follow each position.
Element x y z (fractional)
Sc (0.0000, 0.0000, 0.0000)  12 Cr 3.09
Cr (0.0000, 0.5000, 0.5000)  2 O 2.19
Cr (0.5000, 0.0000, 0.5000)  2 O 2.19
Cr (0.5000, 0.5000, 0.0000)  2 O 2.19
O (0.5000, 0.5000, 0.5000)  6 Cr 2.19